A plane-wave DFT calculation with PBE-GGA was carried out for an optimized crystal structure of AcLaSm2Sb4.

Computed properties:
* theoretical density: 6.98 g/cm³
* size of the total moment: 0.0 μB/cell
* V: 34.3 Å³ per atom
* Fermi-level density of states: 0.12 states/eV per atom
* E_form (uncorrected): -1.20 eV/atom
* space group: P2/m, No. 10

abc: 4.5966 7.9575 7.9576
angles: 70.54 90.00 90.00
Last column: nearest neighbours and their distance in Å.
Element x y z (fractional)
Sb1 0.5000 0.2389 0.7493  3 Sm 3.17-3.22, 2 La 3.28, 1 Ac 3.33
Sb2 0.5000 0.7611 0.2507  3 Sm 3.17-3.22, 2 La 3.28, 1 Ac 3.33
Sb3 0.0000 0.2355 0.2593  3 Sm 3.17-3.22, 1 La 3.28, 2 Ac 3.33
Sb4 0.0000 0.7645 0.7407  3 Sm 3.17-3.22, 1 La 3.28, 2 Ac 3.33
Ac1 0.5000 0.5000 0.0000  6 Sb 3.33
Sm1 0.5000 0.0000 0.5000  6 Sb 3.17
Sm2 0.0000 0.0000 0.0000  6 Sb 3.22
La1 0.0000 0.5000 0.5000  6 Sb 3.28



A plane-wave DFT calculation with PBE-GGA was carried out for an optimized crystal structure of TiMnGa2.

Computed properties:
* theoretical density: 7.18 g/cm³
* size of the total moment: 0.0 μB/cell
* V: 14.0 Å³ per atom
* Fermi-level density of states: 0.69 states/eV per atom
* calculated formation energy: -0.133 eV per atom
* space group: Fm-3m, No. 225

abc: 4.2945 4.2945 4.2945
angles: 60.00 60.00 60.00
Last column: nearest neighbours and their distance in Å.
Element x y z (fractional)
Mn1 0.5000 0.5000 0.5000  8 Ga 2.63
Ga1 0.7500 0.7500 0.7500  4 Mn 2.63, 4 Ti 2.63
Ga2 0.2500 0.2500 0.2500  4 Mn 2.63, 4 Ti 2.63
Ti1 0.0000 0.0000 0.0000  8 Ga 2.63



A plane-wave DFT calculation with PBE-GGA was carried out for an optimized crystal structure of Sc2TaAu.

Computed properties:
* theoretical density: 9.93 g/cm³
* size of the total moment: 1.4 μB/cell
* V: 19.6 Å³ per atom
* Fermi-level density of states: 1.48 states/eV per atom
* calculated formation energy: 0.080 eV per atom
* space group: F-43m, No. 216

abc: 4.8006 4.8006 4.8006
angles: 60.00 60.00 60.00
Last column: nearest neighbours and their distance in Å.
Element x y z (fractional)
Sc1 0.2500 0.2500 0.2500  4 Sc 2.94, 4 Au 2.94
Sc2 0.0000 0.0000 0.0000  4 Sc 2.94, 4 Ta 2.94
Ta1 0.7500 0.7500 0.7500  4 Au 2.94, 4 Sc 2.94
Au1 0.5000 0.5000 0.5000  4 Sc 2.94, 4 Ta 2.94



A plane-wave DFT calculation with PBE-GGA was carried out for an optimized crystal structure of TlAgSb2.

Computed properties:
* theoretical density: 8.47 g/cm³
* size of the total moment: 0.0 μB/cell
* V: 27.2 Å³ per atom
* Fermi-level density of states: 0.29 states/eV per atom
* E_form (uncorrected): 0.09 eV/atom
* space group: P2/m, No. 10

abc: 4.3139 3.3519 8.2155
angles: 66.47 90.00 90.00
Last column: nearest neighbours and their distance in Å.
Element x y z (fractional)
Ag1 0.5000 0.7500 0.7500  8 Sb 3.10-3.12, 2 Ag 3.35
Sb1 0.0000 0.0530 0.9470  1 Sb 2.97, 4 Ag 3.10-3.12
Sb2 0.0000 0.4470 0.5530  1 Sb 2.97, 4 Ag 3.10-3.12
Tl1 0.5000 0.2500 0.2500  2 Tl 3.35, 8 Sb 3.55-3.57



A plane-wave DFT calculation with PBE-GGA was carried out for an optimized crystal structure of Sm2Y6Tl.

Computed properties:
* theoretical density: 6.03 g/cm³
* size of the total moment: 0.0 μB/cell
* V: 31.8 Å³ per atom
* Fermi-level density of states: 1.01 states/eV per atom
* calculated formation energy: -0.101 eV per atom
* space group: P-62m, No. 189

abc: 3.6896 9.4593 9.4575
angles: 120.01 90.00 90.00
Last column: nearest neighbours and their distance in Å.
Element x y z (fractional)
Y1 0.0000 0.2769 0.0000  2 Tl 3.20, 2 Sm 3.45
Y2 0.5000 0.6216 0.0000  4 Sm 3.49, 1 Tl 3.58, 8 Y 3.69-3.75
Y3 0.0000 0.7232 0.7232  2 Tl 3.20, 2 Sm 3.45
Y4 0.5000 0.0000 0.6217  4 Sm 3.49, 1 Tl 3.58, 8 Y 3.69-3.75
Y5 0.5000 0.3783 0.3783  4 Sm 3.49, 1 Tl 3.58, 8 Y 3.69-3.75
Y6 0.0000 0.9999 0.2768  2 Tl 3.20, 2 Sm 3.45
Sm1 0.0000 0.6667 0.3334  9 Y 3.45-3.49, 2 Sm 3.69
Sm2 0.0000 0.3333 0.6666  9 Y 3.45-3.49, 2 Sm 3.69
Tl1 0.5000 0.0001 0.0000  9 Y 3.20-3.58



A plane-wave DFT calculation with PBE-GGA was carried out for an optimized crystal structure of B2Ir2Pd.

Computed properties:
* theoretical density: 14.20 g/cm³
* size of the total moment: 0.0 μB/cell
* V: 12.0 Å³ per atom
* Fermi-level density of states: 1.19 states/eV per atom
* calculated formation energy: 0.014 eV per atom
* space group: I4/mmm, No. 139

abc: 3.8006 3.8006 4.9422
angles: 67.39 67.39 90.00
Last column: nearest neighbours and their distance in Å.
Element x y z (fractional)
Ir1 0.2500 0.7500 0.5000  4 B 2.24
Ir2 0.7500 0.2500 0.5000  4 B 2.24
B1 0.6077 0.6077 0.7846  1 B 1.79
B2 0.3923 0.3923 0.2154  1 B 1.79
Pd1 0.0000 0.0000 0.0000  8 Ir 2.81, 8 B 2.83



A plane-wave DFT calculation with PBE-GGA was carried out for an optimized crystal structure of TbCeBi.

Computed properties:
* theoretical density: 9.26 g/cm³
* size of the total moment: 1.3 μB/cell
* V: 30.4 Å³ per atom
* Fermi-level density of states: 1.78 states/eV per atom
* calculated formation energy: -0.309 eV per atom
* space group: Immm, No. 71

abc: 5.7836 3.4140 9.8206
angles: 100.01 107.13 90.00
Last column: nearest neighbours and their distance in Å.
Element x y z (fractional)
Bi1 0.8412 0.3412 0.6825  5 Tb 3.20-3.36, 2 Ce 3.32, 2 Bi 3.41
Bi2 0.1588 0.6588 0.3175  5 Tb 3.20-3.36, 2 Ce 3.32, 2 Bi 3.41
Tb1 0.3321 0.8321 0.6642  5 Bi 3.20-3.36, 2 Tb 3.41
Tb2 0.6679 0.1679 0.3358  5 Bi 3.20-3.36, 2 Tb 3.41
Ce1 0.2694 0.5000 0.0000  1 Ce 2.67
Ce2 0.7306 0.5000 0.0000  1 Ce 2.67



A plane-wave DFT calculation with PBE-GGA was carried out for an optimized crystal structure of Y6Ga2Rh.

Computed properties:
* theoretical density: 5.33 g/cm³
* size of the total moment: 0.0 μB/cell
* V: 26.8 Å³ per atom
* Fermi-level density of states: 1.04 states/eV per atom
* calculated formation energy: -0.426 eV per atom
* space group: P2_1/c, No. 14

abc: 6.0182 8.4181 9.5586
angles: 90.00 85.86 90.00
Last column: nearest neighbours and their distance in Å.
Element x y z (fractional)
Y1 0.8866 0.6777 0.5551  1 Rh 2.84, 2 Ga 2.99-3.15
Y2 0.3879 0.5316 0.7346  1 Rh 2.69
Y3 0.1134 0.3223 0.4449  1 Rh 2.84, 2 Ga 2.99-3.15
Y4 0.6121 0.4684 0.2654  1 Rh 2.69
Y5 0.3957 0.8249 0.4414  1 Rh 2.82, 1 Ga 3.07
Y6 0.8879 0.9684 0.2346  1 Rh 2.69
Y7 0.3866 0.8223 0.0551  1 Rh 2.84, 2 Ga 2.99-3.15
Y8 0.6043 0.1751 0.5586  1 Rh 2.82, 1 Ga 3.07
Y9 0.6134 0.1777 0.9449  1 Rh 2.84, 2 Ga 2.99-3.15
Y10 0.1121 0.0316 0.7654  1 Rh 2.69
Y11 0.1043 0.3249 0.0586  1 Rh 2.82, 1 Ga 3.07
Y12 0.8957 0.6751 0.9414  1 Rh 2.82, 1 Ga 3.07
Ga1 0.4193 0.1236 0.2562  8 Y 2.99-3.25
Ga2 0.0807 0.6236 0.2438  8 Y 2.99-3.25
Ga3 0.5807 0.8764 0.7438  8 Y 2.99-3.25
Ga4 0.9193 0.3764 0.7562  8 Y 2.99-3.25
Rh1 0.5000 0.5000 0.0000  6 Y 2.69-2.84
Rh2 0.0000 0.0000 0.5000  6 Y 2.69-2.84



A plane-wave DFT calculation with PBE-GGA was carried out for an optimized crystal structure of Na2HoScO4.

Computed properties:
* theoretical density: 5.09 g/cm³
* size of the total moment: 0.0 μB/cell
* V: 13.0 Å³ per atom
* Fermi-level density of states: 0.00 states/eV per atom
* E_form (uncorrected): -2.81 eV/atom
* space group: P2/m, No. 10

abc: 3.3010 5.7112 5.8512
angles: 109.00 90.00 90.00
Last column: nearest neighbours and their distance in Å.
Element x y z (fractional)
O1 0.5000 0.2245 0.2051  2 Sc 2.19, 1 Ho 2.27
O2 0.0000 0.2513 0.7920  1 Sc 2.16, 2 Ho 2.26
O3 0.0000 0.7487 0.2080  1 Sc 2.16, 2 Ho 2.26
O4 0.5000 0.7755 0.7949  2 Sc 2.19, 1 Ho 2.27
Na1 0.5000 0.0000 0.5000  6 O 2.46-2.47
Na2 0.0000 0.5000 0.5000  6 O 2.53-2.55
Ho1 0.5000 0.5000 0.0000  6 O 2.26-2.27
Sc1 0.0000 0.0000 0.0000  6 O 2.16-2.19



A plane-wave DFT calculation with PBE-GGA was carried out for an optimized crystal structure of Pb3IF5.

Computed properties:
* theoretical density: 7.27 g/cm³
* size of the total moment: 0.0 μB/cell
* V: 21.4 Å³ per atom
* Fermi-level density of states: 0.00 states/eV per atom
* E_form (uncorrected): -2.05 eV/atom
* space group: Cmc2_1, No. 36

abc: 4.3980 4.3980 22.9687
angles: 90.00 90.00 119.79
Last column: nearest neighbours and their distance in Å.
Element x y z (fractional)
F1 0.6660 0.3340 0.0295  3 Pb 2.41
F2 0.9749 0.0251 0.1258  1 Pb 2.30, 1 F 2.53
F3 0.6671 0.3329 0.4561  2 Pb 2.35-2.42
F4 0.3329 0.6671 0.9561  2 Pb 2.35-2.42
F5 0.2840 0.7160 0.0853  3 Pb 2.48-2.62, 3 F 2.53-2.70
F6 0.7160 0.2840 0.5853  3 Pb 2.48-2.62, 3 F 2.53-2.70
F7 0.9806 0.0194 0.3799  3 Pb 2.57-2.63
F8 0.0194 0.9806 0.8799  3 Pb 2.57-2.63
F9 0.0251 0.9749 0.6258  1 Pb 2.30, 1 F 2.53
F10 0.3340 0.6660 0.5295  3 Pb 2.41
Pb1 0.3266 0.6734 0.6343  2 F 2.30-2.41
Pb2 0.3481 0.6519 0.8538  4 F 2.35-2.63
Pb3 0.9439 0.0561 0.5079  4 F 2.41-2.48
Pb4 0.0561 0.9439 0.0079  4 F 2.41-2.48
Pb5 0.6734 0.3266 0.1343  2 F 2.30-2.41
Pb6 0.6519 0.3481 0.3538  4 F 2.35-2.63
I1 0.3123 0.6878 0.2575  5 Pb 3.35-3.74
I2 0.6878 0.3123 0.7575  5 Pb 3.35-3.74



A plane-wave DFT calculation with PBE-GGA was carried out for an optimized crystal structure of Li3Mn2N4.

Computed properties:
* theoretical density: 3.39 g/cm³
* size of the total moment: 0.0 μB/cell
* V: 10.1 Å³ per atom
* Fermi-level density of states: 0.45 states/eV per atom
* E_form (uncorrected): -0.45 eV/atom
* space group: C2/c, No. 15

abc: 5.2026 6.0419 6.0419
angles: 74.19 88.84 88.84
Last column: nearest neighbours and their distance in Å.
Element x y z (fractional)
Li1 0.7500 0.3946 0.6054  6 N 2.20-2.26
Li2 0.0214 0.9792 0.2328  5 N 2.22-2.37
Li3 0.5214 0.2328 0.9792  5 N 2.22-2.37
Li4 0.4786 0.7672 0.0208  5 N 2.22-2.37
Li5 0.9786 0.0208 0.7672  5 N 2.22-2.37
Li6 0.2500 0.6054 0.3946  6 N 2.20-2.26
Mn1 0.5962 0.8179 0.5740  4 N 1.75-1.82
Mn2 0.0962 0.5740 0.8179  4 N 1.75-1.82
Mn3 0.9038 0.4260 0.1821  4 N 1.75-1.82
Mn4 0.4038 0.1821 0.4260  4 N 1.75-1.82
N1 0.9202 0.7310 0.5766  2 Mn 1.75-1.77
N2 0.0466 0.7045 0.0530  2 Mn 1.81-1.82
N3 0.5798 0.4234 0.2690  2 Mn 1.75-1.77
N4 0.5466 0.0530 0.7045  2 Mn 1.81-1.82
N5 0.9534 0.2955 0.9470  2 Mn 1.81-1.82
N6 0.0798 0.2690 0.4234  2 Mn 1.75-1.77
N7 0.4534 0.9470 0.2955  2 Mn 1.81-1.82
N8 0.4202 0.5766 0.7310  2 Mn 1.75-1.77



A plane-wave DFT calculation with PBE-GGA was carried out for an optimized crystal structure of KBe3S.

Computed properties:
* theoretical density: 1.76 g/cm³
* size of the total moment: 0.0 μB/cell
* V: 18.6 Å³ per atom
* Fermi-level density of states: 0.56 states/eV per atom
* E_form (uncorrected): 1.04 eV/atom
* space group: Pm-3m, No. 221

abc: 4.5281 4.5281 4.5281
angles: 90.00 90.00 90.00
Last column: nearest neighbours and their distance in Å.
Element x y z (fractional)
Be1 0.5000 0.0000 0.0000  2 S 2.26
Be2 0.0000 0.0000 0.5000  2 S 2.26
Be3 0.0000 0.5000 0.0000  2 S 2.26
K1 0.5000 0.5000 0.5000  12 Be 3.20
S1 0.0000 0.0000 0.0000  6 Be 2.26